Computed, not measured: Mg5Sn3H12 after structural relaxation at the PBE level of DFT.

Summary:
- E (eV per atom) = -2.85

```
data_Mg5Sn3H12
_chemical_formula_sum 'Mg40 Sn24 H96'
_cell_length_a 12.683
_cell_length_b 12.683
_cell_length_c 12.683
_cell_angle_alpha 90.00
_cell_angle_beta 90.00
_cell_angle_gamma 90.00
_space_group_name_H-M_alt 'I a -3 d'
_space_group_IT_number 230
_space_group_name_Hall '-I 4bd 2c 3'
loop_
_atom_site_label
_atom_site_type_symbol
_atom_site_fract_x
_atom_site_fract_y
_atom_site_fract_z
Mg1 Mg 0.000 0.000 0.000
Mg2 Mg 0.000 0.250 0.375
Sn1 Sn 0.000 0.250 0.125
H1 H 0.019 0.034 0.847
```